PBE TmZr3, optimized geometry; calculated volume = 24.701 A^3/atom; offset from the most stable computed form = 182 meV per atom; space-group type = R-3c, No. 167; formation energy = 199 meV/atom
1.0
3.956 2.284 3.646
-3.956 2.284 3.646
0.000 -4.568 3.646
Zr Tm
6 2
direct
0.977 0.523 0.750 Zr
0.523 0.750 0.977 Zr
0.023 0.477 0.250 Zr
0.477 0.250 0.023 Zr
0.250 0.023 0.477 Zr
0.750 0.977 0.523 Zr
0.000 0.000 0.000 Tm
0.500 0.500 0.500 Tm